# GGA-PBEsol NbTlCl2, relaxed
# Crystal system = trigonal
# Formation energy from raw total energies = -0.3379 eV per atom
# Uncorrected energy = -4.70 eV/atom
data_NbTlCl2
_cell_length_a 3.2361
_cell_length_b 3.2361
_cell_length_c 29.7435
_cell_angle_alpha 90.00
_cell_angle_beta 90.00
_cell_angle_gamma 120.00
_symmetry_space_group_name_H-M 'R -3 m'
_symmetry_Int_Tables_number 166
_symmetry_space_group_name_Hall '-R 3 2"'
loop_
_atom_site_label
_atom_site_fract_x
_atom_site_fract_y
_atom_site_fract_z
Nb1 0.0000 0.0000 0.0000
Tl1 0.0000 0.0000 0.5000
Cl1 0.0000 0.0000 0.0780

=====

# GGA-PBEsol LaZnIn2, relaxed
# Crystal system = tetragonal
# Formation energy = -0.3820 eV/atom
# Uncorrected energy = -3.61 eV/atom
data_LaZnIn2
_cell_length_a 4.5655
_cell_length_b 4.5655
_cell_length_c 4.6415
_cell_angle_alpha 90.00
_cell_angle_beta 90.00
_cell_angle_gamma 90.00
_symmetry_space_group_name_H-M 'P 4/m m m'
_symmetry_Int_Tables_number 123
_symmetry_space_group_name_Hall '-P 4 2'
loop_
_atom_site_label
_atom_site_fract_x
_atom_site_fract_y
_atom_site_fract_z
La1 0.0000 0.0000 0.0000
Zn1 0.5000 0.5000 0.0000
In1 0.0000 0.5000 0.5000

=====

# GGA-PBEsol MgCrO4, relaxed
# Crystal system = orthorhombic
# Formation energy from raw total energies = -2.1287 eV per atom
# Uncorrected energy = -7.62 eV/atom
data_MgCrO4
_cell_length_a 5.4782
_cell_length_b 8.3347
_cell_length_c 6.3746
_cell_angle_alpha 90.00
_cell_angle_beta 90.00
_cell_angle_gamma 90.00
_symmetry_space_group_name_H-M 'C m c m'
_symmetry_Int_Tables_number 63
_symmetry_space_group_name_Hall '-C 2c 2'
loop_
_atom_site_label
_atom_site_fract_x
_atom_site_fract_y
_atom_site_fract_z
Mg1 0.0000 0.0000 0.0000
Cr1 0.0000 0.3585 0.2500
O1 0.0000 0.2462 0.0437
O2 0.2470 0.0271 0.7500

=====

# GGA-PBEsol NaVTeO5, relaxed
# Crystal system = monoclinic
# Formation energy from raw total energies = -1.8397 eV per atom
# Uncorrected energy = -6.94 eV/atom
data_NaVTeO5
_cell_length_a 5.8537
_cell_length_b 11.2242
_cell_length_c 6.7412
_cell_angle_alpha 90.00
_cell_angle_beta 102.61
_cell_angle_gamma 90.00
_symmetry_space_group_name_H-M 'P 1 21/c 1'
_symmetry_Int_Tables_number 14
_symmetry_space_group_name_Hall '-P 2ybc'
loop_
_atom_site_label
_atom_site_fract_x
_atom_site_fract_y
_atom_site_fract_z
Na1 0.1787 0.2093 0.1849
V1 0.3300 0.6229 0.5887
Te1 0.2378 0.5659 0.0892
O1 0.1213 0.0938 0.5176
O2 0.1443 0.7160 0.6682
O3 0.1698 0.5525 0.3591
O4 0.4326 0.5168 0.7811
O5 0.4529 0.2019 0.9619